Entry w
# UTi2Be

An optimized crystal structure of UTi2Be (PBE-GGA, Alexandria via LeMat-Bulk).

Calculated values
Volume in Å³/atom: 16.22
Symmetry: R-3m (166)
DOS(E_F) in states/eV per cell: 5.33

Lattice parameters (Å, degrees): 2.8196 2.8196 9.5632 81.52 81.52 60.00
Last column: nearest neighbours and their distance in Å.
Fractional coordinates of all 4 atoms:
Ti 0.9018 0.9018 0.2947  3 Be 2.53, 1 U 2.78, 6 Ti 2.82
Ti 0.0982 0.0982 0.7053  3 Be 2.53, 1 U 2.78, 6 Ti 2.82
Be 0.5000 0.5000 0.5000  6 Ti 2.53, 6 Be 2.82
U 0.0000 0.0000 0.0000  2 Ti 2.78, 6 U 2.82

=====

Entry x
# UTi2Be

An optimized crystal structure of UTi2Be (PBE-GGA, Alexandria via LeMat-Bulk).

Calculated values
Volume in Å³/atom: 16.05
Symmetry: P4/mmm (123)
DOS(E_F) in states/eV per cell: 7.05

Lattice parameters (Å, degrees): 3.6054 4.2196 4.2196 90.00 90.00 90.00
Last column: nearest neighbours and their distance in Å.
Fractional coordinates of all 4 atoms:
Ti 0.0000 0.5000 0.0000  4 U 2.78, 4 Be 2.78, 4 Ti 2.98
Ti 0.0000 0.0000 0.5000  4 U 2.78, 4 Be 2.78, 4 Ti 2.98
Be 0.5000 0.0000 0.0000  8 Ti 2.78, 4 U 2.98
U 0.5000 0.5000 0.5000  8 Ti 2.78, 4 Be 2.98

=====

Most stable to least stable: entry x, entry w

=====

Entry w
# TiBe3V

An optimized crystal structure of TiBe3V (PBE-GGA, Alexandria via LeMat-Bulk).

Calculated values
Volume in Å³/atom: 13.52
Symmetry: Pm-3m (221)
DOS(E_F) in states/eV per cell: 4.88

Lattice parameters (Å, degrees): 4.0737 4.0737 4.0737 90.00 90.00 90.00
Last column: nearest neighbours and their distance in Å.
Fractional coordinates of all 5 atoms:
Be 0.0000 0.0000 0.5000  2 V 2.04
Be 0.0000 0.5000 0.0000  2 V 2.04
Be 0.5000 0.0000 0.0000  2 V 2.04
Ti 0.5000 0.5000 0.5000  12 Be 2.88
V 0.0000 0.0000 0.0000  6 Be 2.04

=====

Entry x
# TiBe3V

An optimized crystal structure of TiBe3V (PBE-GGA, Alexandria via LeMat-Bulk).

Calculated values
Volume in Å³/atom: 14.80
Symmetry: Pm-3m (221)
DOS(E_F) in states/eV per cell: 5.69

Lattice parameters (Å, degrees): 4.1983 4.1983 4.1983 90.00 90.00 90.00
Last column: nearest neighbours and their distance in Å.
Fractional coordinates of all 5 atoms:
Be 0.0000 0.0000 0.5000  2 Ti 2.10
Be 0.0000 0.5000 0.0000  2 Ti 2.10
Be 0.5000 0.0000 0.0000  2 Ti 2.10
Ti 0.0000 0.0000 0.0000  6 Be 2.10
V 0.5000 0.5000 0.5000  12 Be 2.97

=====

Most stable to least stable: entry w, entry x

=====

Entry w
# Ti2Be2W

An optimized crystal structure of Ti2Be2W (PBE-GGA, Alexandria via LeMat-Bulk).

Calculated values
Volume in Å³/atom: 14.82
Symmetry: I4/mmm (139)
DOS(E_F) in states/eV per cell: 5.01

Lattice parameters (Å, degrees): 3.0560 3.0560 8.2257 79.29 79.29 90.00
Last column: nearest neighbours and their distance in Å.
Fractional coordinates of all 5 atoms:
Be 0.7500 0.2500 0.5000  4 Be 2.16
Be 0.2500 0.7500 0.5000  4 Be 2.16
W 0.0000 0.0000 0.0000  8 Ti 2.69
Ti 0.3996 0.3996 0.2008  4 W 2.69, 4 Be 2.82
Ti 0.6004 0.6004 0.7992  4 W 2.69, 4 Be 2.82

=====

Entry x
# Ti2Be2W

An optimized crystal structure of Ti2Be2W (PBE-GGA, Alexandria via LeMat-Bulk).

Calculated values
Volume in Å³/atom: 13.40
Symmetry: P4/mbm (127)
DOS(E_F) in states/eV per cell: 5.79

Lattice parameters (Å, degrees): 7.0510 7.0510 2.6959 90.00 90.00 90.00
Last column: nearest neighbours and their distance in Å.
Fractional coordinates of all 10 atoms:
W 0.5000 0.5000 0.0000  2 W 2.70, 4 Ti 2.77, 8 Be 2.94
W 0.0000 0.0000 0.0000  2 W 2.70, 4 Ti 2.77, 8 Be 2.94
Ti 0.8707 0.6293 0.0000  6 Be 2.39-2.54, 1 Ti 2.58
Ti 0.3707 0.8707 0.0000  6 Be 2.39-2.54, 1 Ti 2.58
Ti 0.6293 0.1293 0.0000  6 Be 2.39-2.54, 1 Ti 2.58
Ti 0.1293 0.3707 0.0000  6 Be 2.39-2.54, 1 Ti 2.58
Be 0.1724 0.6724 0.5000  6 Ti 2.39-2.54
Be 0.3276 0.1724 0.5000  6 Ti 2.39-2.54
Be 0.6724 0.8276 0.5000  6 Ti 2.39-2.54
Be 0.8276 0.3276 0.5000  6 Ti 2.39-2.54

=====

Most stable to least stable: entry x, entry w

=====

Entry w
# Ti3BeW

An optimized crystal structure of Ti3BeW (PBE-GGA, Alexandria via LeMat-Bulk).

Calculated values
Volume in Å³/atom: 21.47
Symmetry: Pm-3m (221)
DOS(E_F) in states/eV per cell: 8.74

Lattice parameters (Å, degrees): 4.7524 4.7524 4.7524 90.00 90.00 90.00
Last column: nearest neighbours and their distance in Å.
Fractional coordinates of all 5 atoms:
Ti 0.5000 0.0000 0.0000  2 W 2.38
Ti 0.0000 0.0000 0.5000  2 W 2.38
Ti 0.0000 0.5000 0.0000  2 W 2.38
W 0.0000 0.0000 0.0000  6 Ti 2.38
Be 0.5000 0.5000 0.5000  12 Ti 3.36

=====

Entry x
# Ti3BeW

An optimized crystal structure of Ti3BeW (PBE-GGA, Alexandria via LeMat-Bulk).

Calculated values
Volume in Å³/atom: 16.06
Symmetry: Pm-3m (221)
DOS(E_F) in states/eV per cell: 13.89

Lattice parameters (Å, degrees): 4.3145 4.3145 4.3145 90.00 90.00 90.00
Last column: nearest neighbours and their distance in Å.
Fractional coordinates of all 5 atoms:
W 0.5000 0.5000 0.5000  12 Ti 3.05
Ti 0.5000 0.0000 0.0000  2 Be 2.16
Ti 0.0000 0.5000 0.0000  2 Be 2.16
Ti 0.0000 0.0000 0.5000  2 Be 2.16
Be 0.0000 0.0000 0.0000  6 Ti 2.16

=====

Most stable to least stable: entry x, entry w